*a*
Below is an optimized crystal structure of PtCBr3, with properties calculated at the PBE-GGA level.

Computed properties:
N(E_F)   3.82 states/eV/f.u.
M_tot   1.2 Bohr magnetons per cell

Cell: 5.1154 5.1154 5.1154 Å, 90.00 90.00 90.00°
Last column: nearest neighbours and their distance in Å.
Fractional coordinates of all 5 atoms:
Pt1 0.0000 0.0000 0.0000  6 Br 2.56
C1 0.5000 0.5000 0.5000  12 Br 3.62
Br1 0.0000 0.0000 0.5000  2 Pt 2.56
Br2 0.0000 0.5000 0.0000  2 Pt 2.56
Br3 0.5000 0.0000 0.0000  2 Pt 2.56

=====

*b*
Below is an optimized crystal structure of PtCBr3, with properties calculated at the PBE-GGA level.

Computed properties:
N(E_F)   6.44 states/eV/f.u.
M_tot   1.0 Bohr magnetons per cell

Cell: 4.6683 4.6683 4.6683 Å, 90.00 90.00 90.00°
Last column: nearest neighbours and their distance in Å.
Fractional coordinates of all 5 atoms:
Pt1 0.0000 0.0000 0.0000  12 Br 3.30
C1 0.5000 0.5000 0.5000  6 Br 2.33
Br1 0.0000 0.5000 0.5000  2 C 2.33
Br2 0.5000 0.0000 0.5000  2 C 2.33
Br3 0.5000 0.5000 0.0000  2 C 2.33

=====

Order of stability, best first: *a*, *b*

=====

*a*
Below is an optimized crystal structure of Pt3CBr, with properties calculated at the PBE-GGA level.

Computed properties:
N(E_F)   4.39 states/eV/f.u.
M_tot   0.9 Bohr magnetons per cell

Cell: 4.7414 4.7414 4.7414 Å, 90.00 90.00 90.00°
Last column: nearest neighbours and their distance in Å.
Fractional coordinates of all 5 atoms:
Pt1 0.0000 0.0000 0.5000  2 Br 2.37
Pt2 0.0000 0.5000 0.0000  2 Br 2.37
Pt3 0.5000 0.0000 0.0000  2 Br 2.37
C1 0.5000 0.5000 0.5000  12 Pt 3.35
Br1 0.0000 0.0000 0.0000  6 Pt 2.37

=====

*b*
Below is an optimized crystal structure of Pt3CBr, with properties calculated at the PBE-GGA level.

Computed properties:
N(E_F)   1.96 states/eV/f.u.
M_tot   0.0 Bohr magnetons per cell

Cell: 4.2822 4.2822 4.2822 Å, 90.00 90.00 90.00°
Last column: nearest neighbours and their distance in Å.
Fractional coordinates of all 5 atoms:
Pt1 0.0000 0.0000 0.5000  2 C 2.14
Pt2 0.0000 0.5000 0.0000  2 C 2.14
Pt3 0.5000 0.0000 0.0000  2 C 2.14
C1 0.0000 0.0000 0.0000  6 Pt 2.14
Br1 0.5000 0.5000 0.5000  12 Pt 3.03

=====

Order of stability, best first: *b*, *a*

=====

*a*
Below is an optimized crystal structure of Pt2C2Br, with properties calculated at the PBE-GGA level.

Computed properties:
N(E_F)   2.12 states/eV/f.u.
M_tot   0.0 Bohr magnetons per cell

Cell: 3.5668 3.5668 12.9270 Å, 90.00 90.00 90.00°
Last column: nearest neighbours and their distance in Å.
Fractional coordinates of all 10 atoms:
Pt1 0.0000 0.0000 0.1692  4 C 2.07
Pt2 0.0000 0.0000 0.8308  4 C 2.07
Pt3 0.5000 0.5000 0.3308  4 C 2.07
Pt4 0.5000 0.5000 0.6692  4 C 2.07
C1 0.0000 0.5000 0.2500  4 Pt 2.07
C2 0.0000 0.5000 0.7500  4 Pt 2.07
C3 0.5000 0.0000 0.2500  4 Pt 2.07
C4 0.5000 0.0000 0.7500  4 Pt 2.07
Br1 0.0000 0.0000 0.5000  8 Pt 3.34, 4 Br 3.57, 8 C 3.69
Br2 0.5000 0.5000 0.0000  8 Pt 3.34, 4 Br 3.57, 8 C 3.69

=====

*b*
Below is an optimized crystal structure of Pt2C2Br, with properties calculated at the PBE-GGA level.

Computed properties:
N(E_F)   3.21 states/eV/f.u.
M_tot   0.0 Bohr magnetons per cell

Cell: 7.0595 7.0595 3.3718 Å, 90.00 90.00 90.00°
Last column: nearest neighbours and their distance in Å.
Fractional coordinates of all 10 atoms:
Pt1 0.1357 0.3643 0.0000  4 C 2.27
Pt2 0.3643 0.8643 0.0000  4 C 2.27
Pt3 0.6357 0.1357 0.0000  4 C 2.27
Pt4 0.8643 0.6357 0.0000  4 C 2.27
C1 0.0688 0.5688 0.5000  1 C 1.37
C2 0.4312 0.0688 0.5000  1 C 1.37
C3 0.5688 0.9312 0.5000  1 C 1.37
C4 0.9312 0.4312 0.5000  1 C 1.37
Br1 0.0000 0.0000 0.0000  4 Pt 2.74
Br2 0.5000 0.5000 0.0000  4 Pt 2.74

=====

Order of stability, best first: *a*, *b*